# CrAgN2F PBE with a Hubbard U optimized geometry
# **Calculated total energy**: -5.52 eV/atom
data_CrAgN2F
_chemical_formula_sum 'Cr1 Ag1 N2 F1'
_cell_length_a 3.859
_cell_length_b 3.859
_cell_length_c 4.014
_cell_angle_alpha 90.00
_cell_angle_beta 90.00
_cell_angle_gamma 90.00
_symmetry_space_group_name_H-M 'P 4/m m m'
_symmetry_Int_Tables_number 123
_symmetry_space_group_name_Hall '-P 4 2'
loop_
_atom_site_label
_atom_site_fract_x
_atom_site_fract_y
_atom_site_fract_z
_atom_site_occupancy
Cr1 0.000 0.000 0.000 1
Ag1 0.500 0.500 0.500 1
N1 0.000 0.500 0.000 1
F1 0.000 0.000 0.500 1